Er3Tm2Lu3Te after structural relaxation, computed with PBE.

Cell and atoms, written as POSCAR:
```
Er3Tm2Lu3Te
1.0
-2.0522 7.3169 -4.9611
-2.2693 -8.2728 -2.9617
-3.2648 0.2697 1.7482
Er Lu Te Tm
3 3 1 2
Direct
0.2771 0.0000 0.5000
0.0000 0.2771 0.5000
0.7229 0.7229 0.5000
0.6141 0.0000 0.0000
0.3859 0.3859 0.0000
0.0000 0.6141 0.0000
0.0000 0.0000 0.0000
0.6667 0.3333 0.5000
0.3333 0.6667 0.5000
```

- Symmetry: No. 189
- Theoretical density: 9.355 g cm⁻³
- Crystal system: hexagonal
- Raw total energy: -41.87 eV/f.u.

***

Er2Tm3Lu3Te after structural relaxation, computed with PBE.

Cell and atoms, written as POSCAR:
```
Er2Tm3Lu3Te
1.0
9.0626 0.0000 0.0000
-4.5313 7.8484 0.0000
0.0000 0.0000 3.7087
Er Lu Te Tm
2 3 1 3
Direct
0.6667 0.3333 0.5000
0.3333 0.6667 0.5000
0.6141 0.0000 0.0000
0.3859 0.3859 0.0000
0.0000 0.6141 0.0000
0.0000 0.0000 0.0000
0.2770 0.0000 0.5000
0.0000 0.2770 0.5000
0.7230 0.7230 0.5000
```

- Symmetry: No. 189
- Theoretical density: 9.403 g cm⁻³
- Crystal system: hexagonal
- Raw total energy: -41.76 eV/f.u.

***

ErLuTl after structural relaxation, computed with PBE.

Cell and atoms, written as POSCAR:
```
ErLuTl
1.0
-3.1741 -3.9535 -0.3599
-3.2989 -0.9598 3.7458
-4.9687 0.7878 -0.7255
Er Lu Tl
1 1 1
Direct
0.2500 0.2500 0.2500
0.7500 0.7500 0.7500
0.0000 0.0000 0.0000
```

- Symmetry: No. 216
- Theoretical density: 9.775 g cm⁻³
- Crystal system: cubic
- Raw total energy: -11.51 eV/f.u.

***

Er2TmLuTl2 after structural relaxation, computed with PBE.

Cell and atoms, written as POSCAR:
```
Er2TmLuTl2
1.0
-3.7053 3.1465 2.1662
-1.2199 -3.0591 -4.1805
-1.7657 -4.9048 4.1042
Er Lu Tl Tm
2 1 2 1
Direct
0.0000 0.0000 0.2491
0.0000 0.0000 0.7509
0.6667 0.3333 0.0000
0.3333 0.6667 0.0000
0.6667 0.3333 0.5000
0.3333 0.6667 0.5000
```

- Symmetry: No. 187
- Theoretical density: 11.093 g cm⁻³
- Crystal system: hexagonal
- Raw total energy: -24.30 eV/f.u.